Material: CaHgH
Method: DFT, GGA-PBE
State: optimized geometry

Cell: 12.3423 3.7636 5.4480 Å, 90.00 111.58 90.00°
Last column: nearest neighbours and their distance in Å.
Space group C2/m (No. 12)
Inequivalent atoms, fractional coordinates:
Ca 0.1156 0.0000 0.3263 (multiplicity 4)  3 H 2.22-2.25
Hg 0.1336 0.5000 0.8633 (multiplicity 4)  1 H 2.11
H 0.1892 0.5000 0.5402 (multiplicity 4)  1 Hg 2.11, 3 Ca 2.22-2.25

Properties
Its density is 6.82 Mg/m³. For the total energy, the calculation gives -2.292 eV per atom. The value obtained for the energy above the most stable polymorph in this dataset is 0.094 eV per atom.

---

Material: Ca2HgH
Method: DFT, GGA-PBE
State: optimized geometry

Cell: 3.7988 3.7988 22.7385 Å, 90.00 90.00 120.00°
Last column: nearest neighbours and their distance in Å.
Space group R3m (No. 160, hexagonal axes)
Inequivalent atoms, fractional coordinates:
Ca 0.0000 0.0000 0.0000 (multiplicity 3)  3 H 2.61
Ca 0.0000 0.0000 0.2013 (multiplicity 3)  3 H 2.71
Hg 0.0000 0.0000 0.4333 (multiplicity 3)  6 Ca 3.16-3.18
H 0.0000 0.0000 0.6044 (multiplicity 3)  6 Ca 2.61-2.71

Properties
Its density is 4.94 Mg/m³. For the total energy, the calculation gives -2.221 eV per atom. The value obtained for the energy above the most stable polymorph in this dataset is 0.166 eV per atom.

---

Material: CaHgH
Method: DFT, GGA-PBE
State: optimized geometry

Cell: 3.8667 3.8667 4.8864 Å, 90.00 90.00 120.00°
Last column: nearest neighbours and their distance in Å.
Space group P3m1 (No. 156)
Inequivalent atoms, fractional coordinates:
Ca 0.0000 0.0000 0.0000 (multiplicity 1)  3 H 2.23
Hg 0.3333 0.6667 0.5003 (multiplicity 1)  6 H 3.30-3.32, 6 Ca 3.31
H 0.6667 0.3333 0.0031 (multiplicity 1)  3 Ca 2.23

Properties
Its density is 6.34 Mg/m³. For the total energy, the calculation gives -2.181 eV per atom. The value obtained for the energy above the most stable polymorph in this dataset is 0.204 eV per atom.

---

Material: Ca12Hg3H5
Method: DFT, GGA-PBE
State: optimized geometry

Cell: 16.1115 16.1115 16.1115 Å, 90.00 90.00 90.00°
Last column: nearest neighbours and their distance in Å.
Space group Ia-3d (No. 230)
Inequivalent atoms, fractional coordinates:
Ca 0.0371 0.0546 0.6536 (multiplicity 96)  1 H 2.28
Hg 0.0000 0.2500 0.1250 (multiplicity 24)  8 Ca 3.16-3.24
H 0.0000 0.0000 0.0000 (multiplicity 16)  6 Ca 2.69
H 0.0000 0.2500 0.3750 (multiplicity 24)  4 Ca 2.28

Properties
Its density is 3.46 Mg/m³. For the total energy, the calculation gives -2.432 eV per atom.

---

Material: CaHgH
Method: DFT, GGA-PBE
State: optimized geometry

Cell: 3.9609 11.3585 5.2384 Å, 90.00 90.00 90.00°
Last column: nearest neighbours and their distance in Å.
Space group Ima2 (No. 46)
Inequivalent atoms, fractional coordinates:
Ca 0.2500 0.1310 0.0000 (multiplicity 4)  3 H 2.19-2.25
Hg 0.2500 0.6171 0.0159 (multiplicity 4)  1 H 2.28
H 0.2500 0.5619 0.5984 (multiplicity 4)  3 Ca 2.19-2.25, 1 Hg 2.28, 2 H 2.43

Properties
Its density is 6.81 Mg/m³. For the total energy, the calculation gives -2.262 eV per atom. The value obtained for the energy above the most stable polymorph in this dataset is 0.123 eV per atom.

---

Material: Ca4HgH
Method: DFT, GGA-PBE
State: optimized geometry

Cell: 9.2709 8.2211 9.7685 Å, 90.00 90.00 90.00°
Last column: nearest neighbours and their distance in Å.
Space group Cmcm (No. 63)
Inequivalent atoms, fractional coordinates:
Ca 0.0000 0.2232 0.0483 (multiplicity 8)  1 H 2.31
Ca 0.1919 0.4575 0.7500 (multiplicity 8)  1 H 2.27
Hg 0.0000 0.1108 0.7500 (multiplicity 4)  8 Ca 3.06-3.38
H 0.0000 0.3703 0.2500 (multiplicity 4)  4 Ca 2.27-2.31

Properties
Its density is 3.23 Mg/m³. For the total energy, the calculation gives -2.236 eV per atom. The value obtained for the energy above the most stable polymorph in this dataset is 0.009 eV per atom.

---

Material: CaHgH
Method: DFT, GGA-PBE
State: optimized geometry

Cell: 3.9064 3.9064 28.4480 Å, 90.00 90.00 120.00°
Last column: nearest neighbours and their distance in Å.
Space group R-3m (No. 166, hexagonal axes)
Inequivalent atoms, fractional coordinates:
Ca 0.0000 0.0000 0.2179 (multiplicity 6)  4 H 2.31-2.33
Hg 0.0000 0.0000 0.3695 (multiplicity 6)  3 Hg 3.05, 3 Ca 3.19
H 0.0000 0.0000 0.1366 (multiplicity 6)  4 Ca 2.31-2.33

Properties
Its density is 6.40 Mg/m³. For the total energy, the calculation gives -2.281 eV per atom. The value obtained for the energy above the most stable polymorph in this dataset is 0.105 eV per atom.

---

Material: CaHgH
Method: DFT, GGA-PBE
State: optimized geometry

Cell: 3.8640 3.8640 14.4032 Å, 90.00 90.00 120.00°
Last column: nearest neighbours and their distance in Å.
Space group R3m (No. 160, hexagonal axes)
Inequivalent atoms, fractional coordinates:
Ca 0.0000 0.0000 0.0000 (multiplicity 3)  3 H 2.28
Hg 0.0000 0.0000 0.4892 (multiplicity 3)  1 H 2.07
H 0.0000 0.0000 0.6328 (multiplicity 3)  1 Hg 2.07, 3 Ca 2.28

Properties
Its density is 6.46 Mg/m³. For the total energy, the calculation gives -2.248 eV per atom. The value obtained for the energy above the most stable polymorph in this dataset is 0.138 eV per atom.

---

Material: CaHgH
Method: DFT, GGA-PBE
State: optimized geometry

Cell: 3.3530 3.3530 11.0532 Å, 90.00 90.00 90.00°
Last column: nearest neighbours and their distance in Å.
Space group I4mm (No. 107)
Inequivalent atoms, fractional coordinates:
Ca 0.0000 0.0000 0.0000 (multiplicity 2)  4 H 2.39
Hg 0.0000 0.0000 0.7111 (multiplicity 2)  1 H 2.64
H 0.0000 0.0000 0.4719 (multiplicity 2)  4 Ca 2.39, 1 Hg 2.64

Properties
Its density is 6.46 Mg/m³. For the total energy, the calculation gives -2.121 eV per atom. The value obtained for the energy above the most stable polymorph in this dataset is 0.264 eV per atom.

---

Material: CaHgH
Method: DFT, GGA-PBE
State: optimized geometry

Cell: 3.8238 3.8425 9.4195 Å, 89.92 89.94 60.98°
Last column: nearest neighbours and their distance in Å.
Space group P1 (No. 1)
Inequivalent atoms, fractional coordinates:
Ca 0.0000 0.0000 0.0000 (multiplicity 1)  3 H 2.28
Ca 0.3382 0.3462 0.2986 (multiplicity 1)  4 H 2.32-2.42
Hg 0.0028 0.0071 0.5339 (multiplicity 1)  3 Hg 3.04-3.07, 3 Ca 3.14
Hg 0.6659 0.6643 0.7561 (multiplicity 1)  3 Hg 3.04-3.07, 3 Ca 3.19-3.20
H 0.3352 0.3386 0.0521 (multiplicity 1)  4 Ca 2.28-2.32
H 0.6734 0.6848 0.1966 (multiplicity 1)  3 Ca 2.42, 3 H 2.58-2.64

Properties
Its density is 6.63 Mg/m³. For the total energy, the calculation gives -2.250 eV per atom. The value obtained for the energy above the most stable polymorph in this dataset is 0.135 eV per atom.

---

Material: Ca3HgH2
Method: DFT, GGA-PBE
State: optimized geometry

Cell: 8.9594 11.6175 5.1698 Å, 90.00 90.00 90.00°
Last column: nearest neighbours and their distance in Å.
Space group Cmcm (No. 63)
Inequivalent atoms, fractional coordinates:
Ca 0.0000 0.1058 0.2500 (multiplicity 4)  4 H 2.26
Ca 0.2047 0.3853 0.2500 (multiplicity 8)  2 H 2.25
Hg 0.0000 0.2993 0.7500 (multiplicity 4)  8 Ca 3.32-3.43
H 0.1542 0.0000 0.0000 (multiplicity 8)  4 Ca 2.25-2.26

Properties
Its density is 3.98 Mg/m³. For the total energy, the calculation gives -2.642 eV per atom.

---

Material: Ca2HgH
Method: DFT, GGA-PBE
State: optimized geometry

Cell: 3.4482 3.4482 7.6879 Å, 90.00 90.00 90.00°
Last column: nearest neighbours and their distance in Å.
Space group P4/mmm (No. 123)
Inequivalent atoms, fractional coordinates:
Ca 0.0000 0.0000 0.2297 (multiplicity 2)  4 H 3.01, 4 Hg 3.20
Hg 0.5000 0.5000 0.5000 (multiplicity 1)  8 Ca 3.20, 4 Hg 3.45
H 0.5000 0.5000 0.0000 (multiplicity 1)  8 Ca 3.01

Properties
Its density is 5.12 Mg/m³. For the total energy, the calculation gives -2.086 eV per atom. The value obtained for the energy above the most stable polymorph in this dataset is 0.300 eV per atom.